# 1
MnBeGa3 | PBE | optimized geometry

## Properties
- Space-group type: Pm-3m, No. 221
- Uncorrected energy: -3.756 eV per atom
- ΔE_f: 639.7 meV/atom

Cell: 4.613 4.613 4.613 Å, 90.00 90.00 90.00°
Last column: magnetic moment on the atom in μB.
Element x y z (fractional)
Ga 0.000 0.500 0.000  -0.05
Be 0.500 0.500 0.500  0.08
Ga 0.000 0.000 0.500  0.00
Ga 0.500 0.000 0.000  -0.04
Mn 0.000 0.000 0.000  1.50

# 2
Mn5Be2GaMo2 | PBE | optimized geometry

## Properties
- Space-group type: P4/mbm, No. 127
- Uncorrected energy: -7.805 eV per atom
- ΔE_f: -6.2 meV/atom

Cell: 3.225 8.576 8.576 Å, 90.00 90.00 90.00°
Last column: magnetic moment on the atom in μB.
Element x y z (fractional)
Mn 0.500 0.715 0.432  1.92
Mn 0.500 0.000 0.500  0.88
Mn 0.500 0.785 0.932  1.92
Be 0.000 0.380 0.120  -0.06
Mn 0.500 0.568 0.715  1.92
Be 0.000 0.120 0.620  -0.06
Mn 0.500 0.432 0.285  1.92
Mo 0.000 0.174 0.326  -0.65
Mn 0.500 0.932 0.215  1.92
Ga 0.000 0.500 0.500  -0.04
Be 0.000 0.620 0.880  -0.06
Mn 0.500 0.068 0.785  1.92
Mo 0.000 0.826 0.674  -0.65
Mn 0.500 0.215 0.068  1.92
Be 0.000 0.880 0.380  -0.06
Mo 0.000 0.326 0.826  -0.65
Ga 0.000 0.000 0.000  -0.04
Mn 0.500 0.285 0.568  1.92
Mo 0.000 0.674 0.174  -0.65
Mn 0.500 0.500 0.000  0.88

In the order shown, the computed spin magnetization values come out to 1.50; 7.16 μB/f.u..